(1)
{
  "formula": "Np3Tl3HgS8",
  "functional": "PBE-GGA",
  "state": "optimized geometry",
  "lattice_angstrom": [[6.967, -3.970, 0.000], [6.967, 3.970, 0.000], [-4.661, 0.000, 7.524]],
  "species": ["Np", "Np", "Np", "Tl", "Tl", "Tl", "Hg", "S", "S", "S", "S", "S", "S", "S", "S"],
  "fractional_positions": [[0.000, 0.000, 0.000], [0.000, 0.500, 0.000], [0.500, 0.000, 0.000], [0.000, 0.500, 0.500], [0.500, 0.000, 0.500], [0.500, 0.500, 0.500], [0.500, 0.500, 0.000], [0.223, 0.736, 0.195], [0.231, 0.231, 0.195], [0.254, 0.254, 0.798], [0.264, 0.777, 0.805], [0.736, 0.223, 0.195], [0.746, 0.746, 0.202], [0.769, 0.769, 0.805], [0.777, 0.264, 0.805]],
  "magnetic_moment_mub_per_atom": 0.6669,
  "crystal_system": "monoclinic",
  "formation_energy_uncorrected_ev_per_atom": -0.850
}



(2)
{
  "formula": "Cr2FeCoH",
  "functional": "PBE-GGA",
  "state": "optimized geometry",
  "lattice_angstrom": [[3.611, 0.000, 0.000], [0.000, 3.611, 0.000], [0.000, 0.000, 3.506]],
  "species": ["Cr", "Cr", "Fe", "Co", "H"],
  "fractional_positions": [[0.000, 0.500, 0.000], [0.500, 0.000, 0.000], [0.000, 0.000, 0.500], [0.500, 0.500, 0.500], [0.000, 0.000, 0.000]],
  "magnetic_moment_mub_per_atom": 0.0001,
  "crystal_system": "tetragonal",
  "total_energy_ev_per_atom": -7.566
}



(3)
{
  "formula": "CoAs",
  "functional": "PBE-GGA",
  "state": "optimized geometry",
  "lattice_angstrom": [[4.982, 0.000, 0.000], [0.000, 6.575, 0.000], [0.000, 0.000, 7.338]],
  "species": ["Co", "Co", "Co", "Co", "Co", "Co", "Co", "Co", "As", "As", "As", "As", "As", "As", "As", "As"],
  "fractional_positions": [[0.047, 0.168, 0.393], [0.239, 0.533, 0.384], [0.261, 0.467, 0.884], [0.453, 0.832, 0.893], [0.547, 0.332, 0.607], [0.739, 0.967, 0.616], [0.761, 0.033, 0.116], [0.953, 0.668, 0.107], [0.001, 0.876, 0.862], [0.012, 0.324, 0.113], [0.488, 0.676, 0.613], [0.499, 0.124, 0.362], [0.501, 0.624, 0.138], [0.512, 0.176, 0.887], [0.988, 0.824, 0.387], [0.999, 0.376, 0.638]],
  "e_form_mev_per_atom": -178,
  "magnetic_moment_mub_per_atom": 0.0000,
  "crystal_system": "orthorhombic"
}



(4)
{
  "formula": "Ca3TiFe",
  "functional": "PBE-GGA",
  "state": "optimized geometry",
  "lattice_angstrom": [[5.668, 0.000, 0.000], [0.000, 5.668, 0.000], [0.000, 0.000, 5.668]],
  "species": ["Ca", "Ca", "Ca", "Ti", "Fe"],
  "fractional_positions": [[0.000, 0.000, 0.500], [0.000, 0.500, 0.000], [0.500, 0.000, 0.000], [0.000, 0.000, 0.000], [0.500, 0.500, 0.500]],
  "e_form_mev_per_atom": 1590,
  "magnetic_moment_mub_per_atom": 0.8511,
  "crystal_system": "cubic"
}



(5)
{
  "formula": "HfMgInPb2",
  "functional": "PBE-GGA",
  "state": "optimized geometry",
  "lattice_angstrom": [[5.684, 0.000, 0.000], [0.000, 5.684, 0.000], [0.000, 0.000, 5.079]],
  "species": ["Hf", "Mg", "In", "Pb", "Pb"],
  "fractional_positions": [[0.000, 0.000, 0.000], [0.500, 0.500, 0.000], [0.500, 0.500, 0.500], [0.000, 0.500, 0.500], [0.500, 0.000, 0.500]],
  "e_form_mev_per_atom": 978,
  "magnetic_moment_mub_per_atom": 0.0000,
  "crystal_system": "tetragonal"
}



(6)
{
  "formula": "ZrAg2Hg2",
  "functional": "PBE-GGA",
  "state": "optimized geometry",
  "lattice_angstrom": [[8.195, 0.000, 0.000], [0.000, 8.195, 0.000], [0.000, 0.000, 3.056]],
  "species": ["Zr", "Zr", "Ag", "Ag", "Ag", "Ag", "Hg", "Hg", "Hg", "Hg"],
  "fractional_positions": [[0.000, 0.000, 0.000], [0.500, 0.500, 0.000], [0.122, 0.378, 0.000], [0.378, 0.878, 0.000], [0.622, 0.122, 0.000], [0.878, 0.622, 0.000], [0.177, 0.677, 0.500], [0.323, 0.177, 0.500], [0.677, 0.823, 0.500], [0.823, 0.323, 0.500]],
  "e_form_mev_per_atom": 129,
  "magnetic_moment_mub_per_atom": 0.0000,
  "crystal_system": "tetragonal"
}



(7)
{
  "formula": "Zn3Cu3Ir2",
  "functional": "PBE-GGA",
  "state": "optimized geometry",
  "lattice_angstrom": [[4.136, 0.000, 0.000], [0.000, 4.185, 0.000], [0.000, 0.000, 6.181]],
  "species": ["Zn", "Zn", "Zn", "Cu", "Cu", "Cu", "Ir", "Ir"],
  "fractional_positions": [[0.000, 0.000, 0.000], [0.000, 0.000, 0.500], [0.500, 0.500, 0.000], [0.000, 0.500, 0.257], [0.000, 0.500, 0.743], [0.500, 0.500, 0.500], [0.500, 0.000, 0.251], [0.500, 0.000, 0.749]],
  "e_form_mev_per_atom": -128,
  "magnetic_moment_mub_per_atom": 0.0000,
  "crystal_system": "orthorhombic"
}



(8)
{
  "formula": "NaSmHg2",
  "functional": "PBE-GGA",
  "state": "optimized geometry",
  "lattice_angstrom": [[7.405, 0.000, 0.000], [0.000, 7.405, 0.000], [0.000, 0.000, 7.405]],
  "species": ["Na", "Na", "Na", "Na", "Sm", "Sm", "Sm", "Sm", "Hg", "Hg", "Hg", "Hg", "Hg", "Hg", "Hg", "Hg"],
  "fractional_positions": [[0.000, 0.000, 0.000], [0.000, 0.500, 0.500], [0.500, 0.000, 0.500], [0.500, 0.500, 0.000], [0.000, 0.000, 0.500], [0.000, 0.500, 0.000], [0.500, 0.000, 0.000], [0.500, 0.500, 0.500], [0.250, 0.250, 0.250], [0.250, 0.250, 0.750], [0.250, 0.750, 0.250], [0.250, 0.750, 0.750], [0.750, 0.250, 0.250], [0.750, 0.250, 0.750], [0.750, 0.750, 0.250], [0.750, 0.750, 0.750]],
  "e_form_mev_per_atom": -363,
  "magnetic_moment_mub_per_atom": 0.0000,
  "crystal_system": "cubic"
}